VASP calculation (GGA-PBE) on a geometry-optimized SrBe2Ru structure.

ΔE_f	0.31	eV per atom
Fermi-level density of states	3.6	states/eV/cell
E_tot	-34.4	eV per cell
V	19.8	A^3/atom
distance to the lowest polymorph of the same formula	367	meV per atom

abc: 8.2627 8.2627 8.2627
angles: 147.93 147.93 45.99
Closest atoms and distances in Å follow each position.
Element x y z (fractional)
Sr 0.3750 0.6250 0.7500  8 Be 3.18, 4 Ru 3.23
Sr 0.6250 0.3750 0.2500  8 Be 3.18, 4 Ru 3.23
Be 0.0000 0.0000 0.0000  2 Ru 2.22, 2 Be 2.28
Be 0.0000 0.0000 0.5000  2 Ru 2.22, 2 Be 2.28
Be 0.0000 0.5000 0.0000  2 Ru 2.22, 2 Be 2.28
Be 0.5000 0.0000 0.5000  2 Ru 2.22, 2 Be 2.28
Ru 0.1250 0.8750 0.2500  4 Be 2.22
Ru 0.8750 0.1250 0.7500  4 Be 2.22